Record 1
# Y2Cu3Pt, optimized geometry, DFT PBE-GGA
# - ΔH_f (0 K): -0.516 eV/atom
# - Magnetization: 0.000 μB/atom
data_Y2Cu3Pt
_chemical_formula_sum 'Y2 Cu3 Pt1'
_cell_length_a 3.582
_cell_length_b 4.326
_cell_length_c 7.407
_cell_angle_alpha 90.00
_cell_angle_beta 90.00
_cell_angle_gamma 90.00
_symmetry_space_group_name_H-M 'P m m 2'
_symmetry_Int_Tables_number 25
_symmetry_space_group_name_Hall 'P 2 -2'
loop_
_atom_site_label
_atom_site_type_symbol
_atom_site_fract_x
_atom_site_fract_y
_atom_site_fract_z
Y1 Y 0.000 0.000 0.000
Y2 Y 0.000 0.500 0.484
Cu1 Cu 0.500 0.000 0.672
Cu2 Cu 0.500 0.500 0.146
Cu3 Cu 0.500 0.500 0.820
Pt1 Pt 0.500 0.000 0.328

***

Record 2
# KBaSr, optimized geometry, DFT PBE-GGA
# - ΔH_f (0 K): 0.086 eV/atom
# - Magnetization: 0.000 μB/atom
# - Energy above the lowest structure with this stoichiometry: 26 meV per atom
data_KBaSr
_chemical_formula_sum 'K2 Ba2 Sr2'
_cell_length_a 7.0596
_cell_length_b 7.0596
_cell_length_c 8.7146
_cell_angle_alpha 90.00
_cell_angle_beta 90.00
_cell_angle_gamma 120.00
_symmetry_space_group_name_H-M 'P -3 m 1'
_symmetry_Int_Tables_number 164
_symmetry_space_group_name_Hall '-P 3 2"'
loop_
_atom_site_label
_atom_site_type_symbol
_atom_site_fract_x
_atom_site_fract_y
_atom_site_fract_z
K1 K 0.3333 0.6667 0.0677
Ba1 Ba 0.3333 0.6667 0.5625
Sr1 Sr 0.0000 0.0000 0.2656

***

Record 3
# Pm12Ho2Tm5, optimized geometry, DFT PBE-GGA
# - ΔH_f (0 K): 0.121 eV/atom
# - Magnetization: 0.000 μB/atom
# - Energy above the lowest structure with this stoichiometry: 0 meV per atom
data_Pm12Ho2Tm5
_chemical_formula_sum 'Pm24 Ho4 Tm10'
_cell_length_a 15.831
_cell_length_b 9.252
_cell_length_c 8.669
_cell_angle_alpha 90.00
_cell_angle_beta 91.57
_cell_angle_gamma 90.00
_symmetry_space_group_name_H-M 'C 1 2/m 1'
_symmetry_Int_Tables_number 12
_symmetry_space_group_name_Hall '-C 2y'
loop_
_atom_site_label
_atom_site_type_symbol
_atom_site_fract_x
_atom_site_fract_y
_atom_site_fract_z
Pm1 Pm 0.062 0.000 0.341
Pm2 Pm 0.085 0.500 0.884
Pm3 Pm 0.128 0.196 0.674
Pm4 Pm 0.153 0.318 0.237
Ho1 Ho 0.000 0.172 0.000
Tm1 Tm 0.000 0.500 0.500
Tm2 Tm 0.200 0.000 0.024
Tm3 Tm 0.231 0.500 0.569

***

Record 4
# IrBr, optimized geometry, DFT PBE-GGA
# - Magnetization: 0.000 μB/atom
# - Raw formation energy: 0.27 eV per atom
# - Energy above the lowest structure with this stoichiometry: 0 meV per atom
data_IrBr
_chemical_formula_sum 'Ir4 Br4'
_cell_length_a 5.992
_cell_length_b 3.842
_cell_length_c 8.575
_cell_angle_alpha 90.00
_cell_angle_beta 99.07
_cell_angle_gamma 90.00
_symmetry_space_group_name_H-M 'P 1 21/m 1'
_symmetry_Int_Tables_number 11
_symmetry_space_group_name_Hall '-P 2yb'
loop_
_atom_site_label
_atom_site_type_symbol
_atom_site_fract_x
_atom_site_fract_y
_atom_site_fract_z
Ir1 Ir 0.064 0.250 0.421
Ir2 Ir 0.361 0.750 0.523
Br1 Br 0.155 0.750 0.232
Br2 Br 0.404 0.750 0.806

***

Record 5
# VZnCo3, optimized geometry, DFT PBE-GGA
# - ΔH_f (0 K): 0.999 eV/atom
# - Magnetization: 0.000 μB/atom
# - Energy above the lowest structure with this stoichiometry: 766 meV per atom
data_VZnCo3
_chemical_formula_sum 'V1 Zn1 Co3'
_cell_length_a 4.191
_cell_length_b 4.191
_cell_length_c 4.191
_cell_angle_alpha 90.00
_cell_angle_beta 90.00
_cell_angle_gamma 90.00
_symmetry_space_group_name_H-M 'P m -3 m'
_symmetry_Int_Tables_number 221
_symmetry_space_group_name_Hall '-P 4 2 3'
loop_
_atom_site_label
_atom_site_type_symbol
_atom_site_fract_x
_atom_site_fract_y
_atom_site_fract_z
V1 V 0.000 0.000 0.000
Zn1 Zn 0.500 0.500 0.500
Co1 Co 0.000 0.000 0.500

***

Record 6
# HoBi2Pd7, optimized geometry, DFT PBE-GGA
# - ΔH_f (0 K): -0.468 eV/atom
# - Magnetization: 0.000 μB/atom
# - Energy above the lowest structure with this stoichiometry: 0 meV per atom
data_HoBi2Pd7
_chemical_formula_sum 'Ho2 Bi4 Pd14'
_cell_length_a 4.080
_cell_length_b 4.080
_cell_length_c 23.781
_cell_angle_alpha 90.00
_cell_angle_beta 90.00
_cell_angle_gamma 90.00
_symmetry_space_group_name_H-M 'I 4/m m m'
_symmetry_Int_Tables_number 139
_symmetry_space_group_name_Hall '-I 4 2'
loop_
_atom_site_label
_atom_site_type_symbol
_atom_site_fract_x
_atom_site_fract_y
_atom_site_fract_z
Ho1 Ho 0.000 0.000 0.000
Bi1 Bi 0.000 0.000 0.332
Pd1 Pd 0.000 0.000 0.500
Pd2 Pd 0.000 0.500 0.087
Pd3 Pd 0.000 0.500 0.250